(1)
Th2ZnGa4Cu3: relaxed, PBE.

## Properties
Final energy ... -44.974 eV/cell
Formation enthalpy at 0 K ... -431 kJ/mol of formula units
DOS at the Fermi energy ... 5.990 states/eV per cell

Unit cell a=4.244 b=4.244 c=10.145 alpha=90.00 beta=90.00 gamma=90.00
Element x y z (fractional)
Th (0.500, 0.000, 0.249)
Th (0.000, 0.500, 0.751)
Zn (0.500, 0.500, 0.500)
Ga (0.500, 0.500, 0.000)
Ga (0.000, 0.000, 0.000)
Ga (0.500, 0.000, 0.635)
Ga (0.000, 0.500, 0.365)
Cu (0.000, 0.000, 0.500)
Cu (0.500, 0.000, 0.872)
Cu (0.000, 0.500, 0.128)

(2)
Th3Zn2GaCu6: relaxed, PBE.

## Properties
Final energy ... -53.114 eV/cell
Formation enthalpy at 0 K ... -68 kJ/mol of formula units
DOS at the Fermi energy ... 5.918 states/eV per cell

Unit cell a=5.490 b=5.490 c=8.783 alpha=90.00 beta=90.00 gamma=120.00
Element x y z (fractional)
Th (0.333, 0.667, 0.612)
Th (0.667, 0.333, 0.388)
Th (0.000, 0.000, 0.000)
Zn (0.667, 0.333, 0.980)
Zn (0.333, 0.667, 0.020)
Ga (0.000, 0.000, 0.500)
Cu (0.643, 0.822, 0.270)
Cu (0.178, 0.357, 0.270)
Cu (0.178, 0.822, 0.270)
Cu (0.822, 0.643, 0.730)
Cu (0.357, 0.178, 0.730)
Cu (0.822, 0.178, 0.730)

(3)
Th3Zn2Ga2Cu4: relaxed, PBE.

## Properties
Final energy ... -49.841 eV/cell
Formation enthalpy at 0 K ... -250 kJ/mol of formula units
DOS at the Fermi energy ... 8.434 states/eV per cell

Unit cell a=4.191 b=4.191 c=12.661 alpha=99.53 beta=99.53 gamma=90.00
Element x y z (fractional)
Th (0.000, 0.000, 0.000)
Th (0.201, 0.201, 0.402)
Th (0.799, 0.799, 0.598)
Zn (0.335, 0.335, 0.671)
Zn (0.665, 0.665, 0.329)
Ga (0.448, 0.448, 0.897)
Ga (0.552, 0.552, 0.103)
Cu (0.396, 0.896, 0.792)
Cu (0.896, 0.396, 0.792)
Cu (0.104, 0.604, 0.208)
Cu (0.604, 0.104, 0.208)

(4)
ThZn6GaCu: relaxed, PBE.

## Properties
Final energy ... -43.868 eV/cell
Formation enthalpy at 0 K ... 24 kJ/mol of formula units
DOS at the Fermi energy ... 9.223 states/eV per cell

Unit cell a=6.762 b=8.822 c=7.916 alpha=123.86 beta=115.28 gamma=90.00
Element x y z (fractional)
Th (0.703, 0.453, 0.406)
Th (0.297, 0.547, 0.594)
Zn (0.580, 0.830, 0.161)
Zn (0.999, 0.249, 0.998)
Zn (0.930, 0.123, 0.241)
Zn (0.311, 0.618, 0.241)
Zn (0.311, 0.123, 0.241)
Zn (0.930, 0.618, 0.241)
Zn (0.420, 0.170, 0.839)
Zn (0.001, 0.751, 0.002)
Zn (0.070, 0.877, 0.759)
Zn (0.689, 0.382, 0.759)
Zn (0.689, 0.877, 0.759)
Zn (0.070, 0.382, 0.759)
Ga (0.500, 0.000, 0.500)
Ga (0.000, 0.000, 0.500)
Cu (0.500, 0.500, 0.000)
Cu (0.500, 0.000, 0.000)